The following is a DFT calculation (PBEsol) of a relaxed structure of LiIrBr4.

Calculated values
Electronic total energy ... -12.7 eV for the cell shown
Magnetic moment ... 2.2 μB/f.u.

POSCAR file:
```
LiIrBr4
1.0
0.000 4.263 4.263
4.263 0.000 4.263
4.263 4.263 0.000
Li Ir Br
1 1 4
Cartesian
0.000 0.000 0.000
6.395 6.395 6.395
3.212 3.212 3.212
5.315 5.315 3.212
5.315 3.212 5.315
3.212 5.315 5.315
```

The following is a DFT calculation (PBEsol) of a relaxed structure of LaIrBr2.

Calculated values
Magnetic moment ... 0.0 μB/f.u.
E above lowest polymorph ... 0.000 eV/atom

POSCAR file:
```
LaIrBr2
1.0
4.420 0.000 0.000
0.000 4.010 0.000
-1.059 0.000 4.900
La Ir Br
1 1 2
Cartesian
0.000 0.000 0.000
-0.530 2.005 2.450
1.681 0.000 2.450
2.210 2.005 0.000
```

The following is a DFT calculation (PBEsol) of a relaxed structure of SrTi2AsAu.

Calculated values
Electronic total energy ... -18.4 eV for the cell shown
Magnetic moment ... 2.9 μB/f.u.

POSCAR file:
```
SrTi2AsAu
1.0
4.893 0.000 0.000
0.000 4.893 0.000
0.000 0.000 5.134
Sr Ti As Au
1 2 1 1
Cartesian
0.000 0.000 0.000
0.000 2.447 0.000
2.447 0.000 0.000
2.447 2.447 2.567
0.000 0.000 2.567
```

The following is a DFT calculation (PBEsol) of a relaxed structure of ScP2Rh.

Calculated values
Magnetic moment ... 0.0 μB/f.u.
E above lowest polymorph ... 0.000 eV/atom

POSCAR file:
```
ScP2Rh
1.0
-1.689 1.702 5.276
1.689 -1.702 5.276
1.689 1.702 -5.276
Sc P Rh
1 2 1
Cartesian
0.000 0.000 0.000
1.689 0.000 3.296
0.000 0.000 6.172
0.000 1.702 2.562
```

The following is a DFT calculation (PBEsol) of a relaxed structure of TiCdBr3.

Calculated values
Electronic total energy ... -14.8 eV for the cell shown
Magnetic moment ... 2.8 μB/f.u.

POSCAR file:
```
TiCdBr3
1.0
5.336 0.000 0.000
0.000 5.336 0.000
0.000 0.000 5.336
Ti Cd Br
1 1 3
Cartesian
0.000 0.000 0.000
2.668 2.668 2.668
0.000 2.668 2.668
2.668 0.000 2.668
2.668 2.668 0.000
```

The following is a DFT calculation (PBEsol) of a relaxed structure of BaCe2O4.

Calculated values
Electronic total energy ... -231.6 eV for the cell shown
Magnetic moment ... 1.9 μB/f.u.

POSCAR file:
```
BaCe2O4
1.0
10.216 0.000 0.000
0.000 3.609 0.000
0.000 0.000 12.365
Ba Ce O
4 8 16
Cartesian
2.489 0.902 1.831
2.619 2.707 8.013
7.597 0.902 4.352
7.727 2.707 10.534
0.717 2.707 4.771
0.975 2.707 11.071
4.133 0.902 4.888
4.391 0.902 10.954
5.825 2.707 1.411
6.083 2.707 7.476
9.241 0.902 1.294
9.499 0.902 7.593
0.054 0.902 3.482
0.580 2.707 0.977
1.338 0.902 6.266
2.274 0.902 10.132
2.834 2.707 3.950
3.770 2.707 0.084
4.528 0.902 7.159
5.054 2.707 9.664
5.162 0.902 2.700
5.688 2.707 5.205
6.446 0.902 12.281
7.382 0.902 8.415
7.942 2.707 2.232
8.878 2.707 6.099
9.636 0.902 11.388
10.162 2.707 8.883
```

The following is a DFT calculation (PBEsol) of a relaxed structure of YSi2Ir2.

Calculated values
Electronic total energy ... -87.0 eV for the cell shown
Magnetic moment ... 0.0 μB/f.u.

POSCAR file:
```
YSi2Ir2
1.0
4.089 0.000 0.000
0.000 4.089 0.000
0.000 0.000 9.782
Y Si Ir
2 4 4
Cartesian
1.022 1.022 2.413
3.066 3.066 7.369
1.022 1.022 6.174
1.022 3.066 0.000
3.066 1.022 0.000
3.066 3.066 3.608
1.022 1.022 8.521
1.022 3.066 4.891
3.066 1.022 4.891
3.066 3.066 1.261
```

The following is a DFT calculation (PBEsol) of a relaxed structure of MgCoW.

Calculated values
Electronic total energy ... -17.7 eV for the cell shown
Magnetic moment ... 2.0 μB/f.u.

POSCAR file:
```
MgCoW
1.0
0.000 2.912 2.912
2.912 0.000 2.912
2.912 2.912 0.000
Mg Co W
1 1 1
Cartesian
0.000 0.000 0.000
1.456 1.456 1.456
4.368 4.368 4.368
```

Number 1: calculated volume 154.98 Å³/cell. Number 2: calculated volume 86.86 Å³/cell. Number 3: calculated volume 122.93 Å³/cell. Number 4: calculated volume 60.64 Å³/cell. Number 5: calculated volume 151.91 Å³/cell. Number 6: calculated volume 455.90 Å³/cell. Number 7: calculated volume 163.51 Å³/cell. Number 8: calculated volume 49.39 Å³/cell.